# YCrFe2

Crystalline YCrFe2 at its relaxed geometry (PBE, the Alexandria database).

Output
Total DFT energy (no corrections): -7.90 eV/atom

Geometry as CIF:
```
data_YCrFe2
_cell_length_a 3.7479
_cell_length_b 5.3588
_cell_length_c 5.3588
_cell_angle_alpha 39.64
_cell_angle_beta 90.00
_cell_angle_gamma 90.00
_symmetry_space_group_name_H-M 'P 1'
_symmetry_Int_Tables_number 1
loop_
_symmetry_equiv_pos_as_xyz
'x,y,z'
loop_
_atom_site_label
_atom_site_type_symbol
_atom_site_fract_x
_atom_site_fract_y
_atom_site_fract_z
Y1 Y 0.0000 0.0000 0.0000
Cr1 Cr 0.5000 0.7092 0.7092
Fe1 Fe 0.0000 0.2654 0.2654
Fe2 Fe 0.5000 0.3831 0.3831
```